1.
5
Lattice="5.9491 0.0000 0.0000 0.0000 5.9491 0.0000 0.0000 0.0000 5.8037" Properties=species:S:1:pos:R:3 comment="SrAlSb2W (PBE-GGA, optimized geometry)" raw_formation_energy_ev_per_atom=1.99 n_ef_per_ev_cell=4.0 final_energy_ry_per_atom=-0.2450 pbc="T T T"
Sr 0.0000 0.0000 0.0000
Al 2.9745 2.9745 2.9019
Sb 0.0000 2.9745 0.0000
Sb 2.9745 0.0000 0.0000
W 0.0000 0.0000 2.9019



2.
5
Lattice="5.4817 0.0000 0.0000 0.0000 5.4817 0.0000 0.0000 0.0000 6.3356" Properties=species:S:1:pos:R:3 comment="SrYAl2Sb (PBE-GGA, optimized geometry)" raw_formation_energy_ev_per_atom=0.87 n_ef_per_ev_cell=5.5 final_energy_ry_per_atom=-0.2264 pbc="T T T"
Sr 0.0000 0.0000 0.0000
Y 0.0000 0.0000 3.1678
Al 0.0000 2.7408 3.1678
Al 2.7408 0.0000 3.1678
Sb 2.7408 2.7408 0.0000



3.
5
Lattice="5.3782 0.0000 0.0000 0.0000 5.3782 0.0000 0.0000 0.0000 5.3782" Properties=species:S:1:pos:R:3 comment="TaAlSb3 (PBE-GGA, optimized geometry)" raw_formation_energy_ev_per_atom=0.55 n_ef_per_ev_cell=4.1 final_energy_ry_per_atom=-0.3705 de_polymorph_ev_per_atom=0.000 pbc="T T T"
Ta 0.0000 0.0000 0.0000
Al 2.6891 2.6891 2.6891
Sb 0.0000 0.0000 2.6891
Sb 0.0000 2.6891 0.0000
Sb 2.6891 0.0000 0.0000



4.
8
Lattice="5.9338 0.0000 0.0000 0.0000 8.7135 0.0000 -0.9262 0.0000 2.8852" Properties=species:S:1:pos:R:3 comment="Ta2AlSb (PBE-GGA, optimized geometry)" raw_formation_energy_ev_per_atom=0.12 n_ef_per_ev_cell=4.5 final_energy_ry_per_atom=-0.5712 de_polymorph_ev_per_atom=0.226 pbc="T T T"
Ta 1.4835 2.1784 0.0000
Ta 1.4835 6.5351 0.0000
Ta 4.4504 2.1784 0.0000
Ta 4.4504 6.5351 0.0000
Al -0.4631 0.0000 1.4426
Al 2.5038 4.3567 1.4426
Sb -0.4631 4.3567 1.4426
Sb 2.5038 0.0000 1.4426



5.
16
Lattice="6.3662 0.0000 0.0000 0.0000 6.3662 0.0000 0.0000 0.0000 12.4638" Properties=species:S:1:pos:R:3 comment="TaAlSb2 (PBE-GGA, optimized geometry)" raw_formation_energy_ev_per_atom=0.55 n_ef_per_ev_cell=23.5 final_energy_ry_per_atom=-0.3975 pbc="T T T"
Ta 0.0000 0.0000 0.0000
Ta 0.0000 3.1831 3.1159
Ta 3.1831 0.0000 9.3478
Ta 3.1831 3.1831 6.2319
Al 0.0000 0.0000 6.2319
Al 0.0000 3.1831 9.3478
Al 3.1831 0.0000 3.1159
Al 3.1831 3.1831 0.0000
Sb 1.5697 1.5915 7.7898
Sb 1.5915 4.7528 10.9058
Sb 1.5915 4.7965 4.6739
Sb 1.6134 1.5915 1.5580
Sb 4.7528 4.7746 1.5580
Sb 4.7746 1.5697 4.6739
Sb 4.7746 1.6134 10.9058
Sb 4.7965 4.7746 7.7898



6.
8
Lattice="3.6562 0.0000 0.0000 0.0000 4.7121 0.0000 0.0000 0.0000 9.2990" Properties=species:S:1:pos:R:3 comment="Ta2AlSb (PBE-GGA, optimized geometry)" raw_formation_energy_ev_per_atom=0.12 n_ef_per_ev_cell=5.0 final_energy_ry_per_atom=-0.5713 de_polymorph_ev_per_atom=0.225 pbc="T T T"
Ta 0.0000 0.0000 0.0000
Ta 0.0000 2.3560 2.1749
Ta 1.8281 0.0000 2.1749
Ta 1.8281 2.3560 0.0000
Al 0.0000 2.3560 7.2862
Al 1.8281 0.0000 7.2862
Sb 0.0000 0.0000 4.4467
Sb 1.8281 2.3560 4.4467



7.
8
Lattice="3.8294 0.0000 0.0000 0.0000 5.0937 0.0000 0.0000 0.0000 8.4818" Properties=species:S:1:pos:R:3 comment="TaAlSb2 (PBE-GGA, optimized geometry)" raw_formation_energy_ev_per_atom=0.26 n_ef_per_ev_cell=4.5 final_energy_ry_per_atom=-0.4192 pbc="T T T"
Ta 0.0000 0.0000 0.0000
Ta 1.9147 2.5469 4.2409
Al 0.0000 0.0000 4.2409
Al 1.9147 2.5469 0.0000
Sb 0.0000 2.5469 1.9508
Sb 0.0000 2.5469 6.5309
Sb 1.9147 0.0000 2.2900
Sb 1.9147 0.0000 6.1917



8.
6
Lattice="3.7544 0.0000 0.0000 0.0000 3.7544 0.0000 0.0000 0.0000 8.3956" Properties=species:S:1:pos:R:3 comment="TaAlSb (PBE-GGA, optimized geometry)" raw_formation_energy_ev_per_atom=-0.11 n_ef_per_ev_cell=3.1 final_energy_ry_per_atom=-0.4908 de_polymorph_ev_per_atom=0.021 pbc="T T T"
Ta 0.9386 0.9386 2.0612
Ta 2.8158 2.8158 6.3344
Al 0.9386 2.8158 4.1978
Al 2.8158 0.9386 4.1978
Sb 0.9386 0.9386 7.3911
Sb 2.8158 2.8158 1.0045



9.
4
Lattice="3.0074 0.0000 0.0000 0.0000 4.3812 0.0000 -1.1597 0.0000 5.6671" Properties=species:S:1:pos:R:3 comment="Ta2AlSb (PBE-GGA, optimized geometry)" raw_formation_energy_ev_per_atom=0.10 n_ef_per_ev_cell=1.8 final_energy_ry_per_atom=-0.5729 de_polymorph_ev_per_atom=0.203 pbc="T T T"
Ta 0.4095 0.0000 1.3335
Ta 1.4382 0.0000 4.3335
Al 1.5037 2.1906 0.0000
Sb -0.5799 2.1906 2.8335



10.
4
Lattice="3.5668 0.0000 0.0000 0.0000 4.6741 0.0000 0.0000 0.0000 5.1035" Properties=species:S:1:pos:R:3 comment="TaAlSb2 (PBE-GGA, optimized geometry)" raw_formation_energy_ev_per_atom=0.42 n_ef_per_ev_cell=2.1 final_energy_ry_per_atom=-0.4073 pbc="T T T"
Ta 0.0000 0.0000 0.0000
Al 1.7834 0.0000 2.5518
Sb 0.0000 2.3370 2.5518
Sb 1.7834 2.3370 0.0000



11.
12
Lattice="3.9087 0.0000 0.0000 0.0000 4.6004 0.0000 0.0000 0.0000 13.7882" Properties=species:S:1:pos:R:3 comment="TaAlSb (PBE-GGA, optimized geometry)" raw_formation_energy_ev_per_atom=0.21 n_ef_per_ev_cell=11.9 final_energy_ry_per_atom=-0.4676 de_polymorph_ev_per_atom=0.337 pbc="T T T"
Ta 0.0000 0.0000 0.0000
Ta 0.0000 2.3002 6.8941
Ta 1.9543 0.0000 6.8941
Ta 1.9543 2.3002 0.0000
Al 0.0000 0.0000 4.9788
Al 0.0000 2.3002 11.8729
Al 1.9543 0.0000 11.8729
Al 1.9543 2.3002 4.9788
Sb 0.0000 0.0000 9.1139
Sb 0.0000 2.3002 2.2198
Sb 1.9543 0.0000 2.2198
Sb 1.9543 2.3002 9.1139



12.
4
Lattice="3.2414 0.0000 0.0000 0.0000 3.2414 0.0000 0.0000 0.0000 7.0508" Properties=species:S:1:pos:R:3 comment="Ta2AlSb (PBE-GGA, optimized geometry)" raw_formation_energy_ev_per_atom=0.19 n_ef_per_ev_cell=1.9 final_energy_ry_per_atom=-0.5662 de_polymorph_ev_per_atom=0.293 pbc="T T T"
Ta 0.0000 0.0000 1.7635
Ta 0.0000 0.0000 5.2873
Al 1.6207 1.6207 0.0000
Sb 1.6207 1.6207 3.5254



13.
12
Lattice="6.4060 0.0000 0.0000 0.0000 6.4060 0.0000 0.0000 0.0000 6.4060" Properties=species:S:1:pos:R:3 comment="TaAlSb (PBE-GGA, optimized geometry)" raw_formation_energy_ev_per_atom=0.74 n_ef_per_ev_cell=15.3 final_energy_ry_per_atom=-0.4289 de_polymorph_ev_per_atom=0.863 pbc="T T T"
Ta 0.0000 0.0000 0.0000
Ta 0.0000 3.2030 3.2030
Ta 3.2030 0.0000 3.2030
Ta 3.2030 3.2030 0.0000
Al 1.6015 1.6015 4.8045
Al 1.6015 4.8045 1.6015
Al 4.8045 1.6015 1.6015
Al 4.8045 4.8045 4.8045
Sb 0.0000 0.0000 3.2030
Sb 0.0000 3.2030 0.0000
Sb 3.2030 0.0000 0.0000
Sb 3.2030 3.2030 3.2030



14.
4
Lattice="3.5416 0.0000 0.0000 0.0000 4.3905 0.0000 0.0000 0.0000 4.7667" Properties=species:S:1:pos:R:3 comment="Ta2AlSb (PBE-GGA, optimized geometry)" raw_formation_energy_ev_per_atom=0.08 n_ef_per_ev_cell=2.5 final_energy_ry_per_atom=-0.5743 de_polymorph_ev_per_atom=0.183 pbc="T T T"
Ta 0.0000 0.0000 0.0000
Ta 1.7708 0.0000 2.3833
Al 0.0000 2.1953 2.3833
Sb 1.7708 2.1953 0.0000



15.
10
Lattice="4.0245 0.0000 0.0000 0.0000 4.0245 0.0000 0.0000 0.0000 13.7798" Properties=species:S:1:pos:R:3 comment="Ta2AlSb2 (PBE-GGA, optimized geometry)" raw_formation_energy_ev_per_atom=0.55 n_ef_per_ev_cell=7.1 final_energy_ry_per_atom=-0.4844 de_polymorph_ev_per_atom=0.409 pbc="T T T"
Ta 0.0000 0.0000 1.3395
Ta 0.0000 0.0000 12.4403
Ta 2.0123 2.0123 5.5504
Ta 2.0123 2.0123 8.2294
Al 0.0000 0.0000 6.8899
Al 2.0123 2.0123 0.0000
Sb 0.0000 2.0123 3.4450
Sb 0.0000 2.0123 10.3349
Sb 2.0123 0.0000 3.4450
Sb 2.0123 0.0000 10.3349



16.
8
Lattice="3.5168 0.0000 0.0000 0.0000 4.8052 0.0000 0.0000 0.0000 8.7354" Properties=species:S:1:pos:R:3 comment="Ta2AlSb (PBE-GGA, optimized geometry)" raw_formation_energy_ev_per_atom=0.05 n_ef_per_ev_cell=4.2 final_energy_ry_per_atom=-0.5763 de_polymorph_ev_per_atom=0.156 pbc="T T T"
Ta 0.0000 0.0000 2.1434
Ta 0.0000 0.0000 6.5920
Ta 1.7584 2.4026 2.2243
Ta 1.7584 2.4026 6.5111
Al 0.0000 2.4026 4.3677
Al 1.7584 0.0000 0.0000
Sb 0.0000 2.4026 0.0000
Sb 1.7584 0.0000 4.3677



17.
4
Lattice="3.6093 0.0000 0.0000 0.0000 3.6146 0.0000 -0.9437 0.0000 6.4716" Properties=species:S:1:pos:R:3 comment="TaAlSb2 (PBE-GGA, optimized geometry)" raw_formation_energy_ev_per_atom=0.16 n_ef_per_ev_cell=2.3 final_energy_ry_per_atom=-0.4264 pbc="T T T"
Ta 0.0000 0.0000 0.0000
Al -0.4718 0.0000 3.2358
Sb 0.9043 1.8073 4.9334
Sb 1.7613 1.8073 1.5382



18.
8
Lattice="10.9558 0.0000 0.0000 0.0000 2.9923 0.0000 -1.5345 0.0000 5.2069" Properties=species:S:1:pos:R:3 comment="TaAlSb2 (PBE-GGA, optimized geometry)" raw_formation_energy_ev_per_atom=0.23 n_ef_per_ev_cell=5.4 final_energy_ry_per_atom=-0.4213 pbc="T T T"
Ta 0.0000 0.0000 0.0000
Ta 5.4779 1.4961 0.0000
Al 1.5591 1.4961 1.7567
Al 7.0370 0.0000 1.7567
Sb 1.3432 0.0000 4.4142
Sb 4.0917 0.0000 2.4600
Sb 6.8211 1.4961 4.4142
Sb 9.5696 1.4961 2.4600



19.
12
Lattice="3.0554 0.0000 0.0000 -1.5277 2.6460 0.0000 0.0000 0.0000 28.0509" Properties=species:S:1:pos:R:3 comment="Ta2AlSb (PBE-GGA, optimized geometry)" raw_formation_energy_ev_per_atom=0.19 n_ef_per_ev_cell=10.6 final_energy_ry_per_atom=-0.5661 de_polymorph_ev_per_atom=0.295 pbc="T T T"
Ta 0.0000 0.0000 6.9684
Ta 0.0000 0.0000 21.0825
Ta 0.0000 1.7640 11.7322
Ta 0.0000 1.7640 25.6690
Ta 1.5277 0.8820 2.3819
Ta 1.5277 0.8820 16.3187
Al 0.0000 0.0000 14.0255
Al 0.0000 1.7640 4.6752
Al 1.5277 0.8820 23.3758
Sb 0.0000 0.0000 0.0000
Sb 0.0000 1.7640 18.7006
Sb 1.5277 0.8820 9.3503



20.
4
Lattice="3.5389 0.0000 0.0000 0.0000 3.5389 0.0000 0.0000 0.0000 5.9238" Properties=species:S:1:pos:R:3 comment="Ta2AlSb (PBE-GGA, optimized geometry)" raw_formation_energy_ev_per_atom=-0.10 n_ef_per_ev_cell=1.7 final_energy_ry_per_atom=-0.5878 de_polymorph_ev_per_atom=0.000 pbc="T T T"
Ta 0.0000 0.0000 0.0000
Ta 1.7695 1.7695 1.4570
Al 0.0000 0.0000 2.8082
Sb 1.7695 1.7695 4.3944